[1]
MnTe2Rh SCAN PBEsol geometry; formation energy (no corrections) = -57.8 meV per atom; space-group type = P4/mmm, No. 123; DOS at the Fermi energy = 2.05 states/eV/cell
1.0
-1.0533 3.1061 -0.7561
-3.3959 -1.7899 -2.6227
-2.8224 -0.0579 3.6940
Mn Rh Te
1 1 2
direct
0.5000 0.5000 0.5000
0.5000 0.0000 0.0000
0.0000 0.0000 0.5000
0.0000 0.5000 0.0000

[2]
Co2TeW SCAN PBEsol geometry; formation energy (no corrections) = 646.8 meV per atom; space-group type = Pmmm, No. 47; DOS at the Fermi energy = 3.44 states/eV/cell
1.0
3.5969 0.0000 0.0000
0.0000 3.7013 0.0000
0.0000 0.0000 4.1291
Te Co W
1 2 1
direct
0.5000 0.5000 0.0000
0.0000 0.0000 0.0000
0.5000 0.0000 0.5000
0.0000 0.5000 0.5000

[3]
LaFe2Te SCAN PBEsol geometry; formation energy (no corrections) = 207.9 meV per atom; space-group type = F-43m, No. 216; DOS at the Fermi energy = 2.51 states/eV/cell
1.0
4.8536 0.0000 0.0000
2.4268 4.2033 0.0000
2.4268 1.4011 3.9629
Fe La Te
2 1 1
direct
0.0000 0.0000 0.0000
0.2500 0.2500 0.2500
0.5000 0.5000 0.5000
0.7500 0.7500 0.7500

[4]
HfCrN2 SCAN PBEsol geometry; formation energy (no corrections) = -1166.5 meV per atom; space-group type = I-42d, No. 122; DOS at the Fermi energy = 3.29 states/eV/cell
1.0
-1.4337 -0.8295 4.2427
-3.8311 -1.8273 -1.6519
4.7047 -2.9017 -1.4222
Cr Hf N
2 2 4
direct
0.7500 0.2500 0.5000
0.5000 0.5000 0.0000
0.2500 0.7500 0.5000
0.0000 0.0000 0.0000
0.4047 0.8750 0.2500
0.8453 0.3750 0.2500
0.1250 0.1547 0.7500
0.6250 0.5953 0.7500

[5]
SiAs2PbBr SCAN PBEsol geometry; formation energy (no corrections) = 1166.0 meV per atom; space-group type = P4/mmm, No. 123; DOS at the Fermi energy = 4.28 states/eV/cell
1.0
5.3216 0.0000 0.0000
0.0000 5.3216 0.0000
0.0000 0.0000 5.4413
Pb As Si Br
1 2 1 1
direct
0.0000 0.0000 0.0000
0.0000 0.5000 0.0000
0.5000 0.0000 0.0000
0.5000 0.5000 0.5000
0.0000 0.0000 0.5000

[6]
NaH3Se2O6 SCAN PBEsol geometry; space-group type = P2_1/c, No. 14; DOS at the Fermi energy = 0.00 states/eV/cell; distance to the lowest polymorph of the same formula = 0.33 eV per formula unit
1.0
4.5272 0.0000 0.0478
0.0000 5.8746 0.0000
-0.5701 0.0000 10.3336
Na H Se O
2 6 4 12
direct
0.5000 0.5000 0.5000
0.0000 0.0000 0.0000
0.5000 0.0000 0.5000
0.5945 0.9675 0.8142
0.9055 0.4675 0.6858
0.0000 0.5000 0.0000
0.0945 0.5325 0.3142
0.4055 0.0325 0.1858
0.5388 0.3977 0.8416
0.9612 0.8977 0.6584
0.0388 0.1023 0.3416
0.4612 0.6023 0.1584
0.6169 0.8639 0.1502
0.6872 0.8645 0.5361
0.7405 0.3402 0.6999
0.7595 0.8402 0.8001
0.8128 0.3645 0.9639
0.8831 0.3639 0.3498
0.1169 0.6361 0.6502
0.1872 0.6355 0.0361
0.2405 0.1598 0.1999
0.2595 0.6598 0.3001
0.3128 0.1355 0.4639
0.3831 0.1361 0.8498

[7]
SiSb2TeRh SCAN PBEsol geometry; formation energy (no corrections) = 646.4 meV per atom; space-group type = P4/mmm, No. 123; DOS at the Fermi energy = 3.46 states/eV/cell
1.0
4.9502 0.0000 0.0000
0.0000 4.9502 0.0000
0.0000 0.0000 5.4019
Sb Si Te Rh
2 1 1 1
direct
0.0000 0.5000 0.0000
0.5000 0.0000 0.0000
0.5000 0.5000 0.5000
0.0000 0.0000 0.5000
0.0000 0.0000 0.0000

[8]
KNaAg2Ru SCAN PBEsol geometry; space-group type = P4/mmm, No. 123; DOS at the Fermi energy = 1.98 states/eV/cell; ΔE_f = 1.37 eV/atom
1.0
4.8800 0.0000 0.0000
0.0000 4.8800 0.0000
0.0000 0.0000 4.7961
Ru K Ag Na
1 1 2 1
direct
0.5000 0.5000 0.5000
0.0000 0.0000 0.5000
0.0000 0.5000 0.0000
0.5000 0.0000 0.0000
0.0000 0.0000 0.0000